Record 1
Tb4Dy5Th: optimized geometry, PBE-GGA.

a = 3.561 Å, b = 11.030 Å, c = 8.999 Å
α = 101.89°, β = 101.41°, γ = 90.00°
Element x y z (fractional)
Tb: 0.678 0.221 0.357
Tb: 0.979 0.741 0.957
Tb: 0.322 0.779 0.643
Tb: 0.021 0.259 0.043
Dy: 0.161 0.926 0.321
Dy: 0.169 0.518 0.337
Dy: 0.831 0.482 0.663
Dy: 0.500 0.500 0.000
Dy: 0.839 0.074 0.679
Th: 0.500 0.000 0.000

Summary:
energy	-4.672	eV per atom
energy of formation	223	meV per atom
relative energy among the computed polymorphs	0.000	eV/atom

***

Record 2
TbDyTh: optimized geometry, PBE-GGA.

a = 7.108 Å, b = 10.089 Å, c = 11.731 Å
α = 65.05°, β = 138.91°, γ = 134.74°
Element x y z (fractional)
Tb: 0.750 0.250 0.500
Tb: 0.250 0.250 0.500
Tb: 0.750 0.750 0.500
Tb: 0.250 0.750 0.500
Dy: 0.745 0.415 0.160
Dy: 0.245 0.915 0.160
Dy: 0.755 0.085 0.840
Dy: 0.255 0.585 0.840
Th: 0.755 0.584 0.834
Th: 0.745 0.916 0.166
Th: 0.255 0.084 0.834
Th: 0.245 0.416 0.166

Summary:
energy	-5.522	eV per atom
energy of formation	29	meV per atom
relative energy among the computed polymorphs	0.011	eV/atom

***

Record 3
Tb8Dy6Th: optimized geometry, PBE-GGA.

a = 8.631 Å, b = 8.631 Å, c = 8.631 Å
α = 63.04°, β = 63.04°, γ = 63.04°
Element x y z (fractional)
Tb: 0.113 0.719 0.751
Tb: 0.249 0.887 0.281
Tb: 0.281 0.249 0.887
Tb: 0.577 0.577 0.577
Tb: 0.423 0.423 0.423
Tb: 0.719 0.751 0.113
Tb: 0.751 0.113 0.719
Tb: 0.887 0.281 0.249
Dy: 0.897 0.463 0.765
Dy: 0.235 0.103 0.537
Dy: 0.537 0.235 0.103
Dy: 0.463 0.765 0.897
Dy: 0.765 0.897 0.463
Dy: 0.103 0.537 0.235
Th: 0.000 0.000 0.000

Summary:
energy	-4.681	eV per atom
energy of formation	124	meV per atom

***

Record 4
Tb5Dy4Th4: optimized geometry, PBE-GGA.

a = 5.043 Å, b = 9.430 Å, c = 9.430 Å
α = 85.90°, β = 74.49°, γ = 74.49°
Element x y z (fractional)
Tb: 0.695 0.844 0.767
Tb: 0.305 0.156 0.233
Tb: 0.000 0.000 0.000
Tb: 0.538 0.767 0.156
Tb: 0.462 0.233 0.844
Dy: 0.767 0.386 0.080
Dy: 0.233 0.614 0.920
Dy: 0.847 0.920 0.386
Dy: 0.153 0.080 0.614
Th: 0.925 0.461 0.689
Th: 0.614 0.311 0.461
Th: 0.075 0.539 0.311
Th: 0.386 0.689 0.539

Summary:
energy	-5.448	eV per atom
energy of formation	32	meV per atom

***

Record 5
Tb3Dy2Th: optimized geometry, PBE-GGA.

a = 11.057 Å, b = 8.805 Å, c = 8.805 Å
α = 45.79°, β = 51.11°, γ = 51.11°
Element x y z (fractional)
Tb: 0.500 0.250 0.750
Tb: 0.500 0.750 0.250
Tb: 0.233 0.017 0.517
Tb: 0.767 0.483 0.983
Tb: 0.767 0.983 0.483
Tb: 0.233 0.517 0.017
Dy: 0.941 0.302 0.302
Dy: 0.545 0.198 0.198
Dy: 0.455 0.802 0.802
Dy: 0.059 0.698 0.698
Th: 0.000 0.500 0.500
Th: 0.000 0.000 0.000

Summary:
energy	-4.470	eV per atom
energy of formation	616	meV per atom
relative energy among the computed polymorphs	0.583	eV/atom

***

Record 6
Tb5DyTh4: optimized geometry, PBE-GGA.

a = 3.490 Å, b = 11.620 Å, c = 11.952 Å
α = 136.71°, β = 98.40°, γ = 90.00°
Element x y z (fractional)
Tb: 0.210 0.305 0.419
Tb: 0.193 0.801 0.386
Tb: 0.807 0.199 0.614
Tb: 0.500 0.500 0.000
Tb: 0.790 0.695 0.581
Dy: 0.500 0.000 0.000
Th: 0.598 0.901 0.196
Th: 0.090 0.385 0.179
Th: 0.402 0.099 0.804
Th: 0.910 0.615 0.821

Summary:
energy	-5.633	eV per atom
energy of formation	110	meV per atom

***

Record 7
Tb2DyTh: optimized geometry, PBE-GGA.

a = 7.144 Å, b = 7.137 Å, c = 6.165 Å
α = 90.00°, β = 125.41°, γ = 90.00°
Element x y z (fractional)
Tb: 0.250 0.500 0.500
Tb: 0.750 0.500 0.500
Tb: 0.250 0.000 0.500
Tb: 0.750 0.000 0.500
Dy: 0.750 0.250 0.000
Dy: 0.250 0.750 0.000
Th: 0.750 0.750 0.000
Th: 0.250 0.250 0.000

Summary:
energy	-5.267	eV per atom
energy of formation	54	meV per atom
relative energy among the computed polymorphs	0.046	eV/atom

***

Record 8
Tb12Dy3Th: optimized geometry, PBE-GGA.

a = 5.037 Å, b = 5.037 Å, c = 20.101 Å
α = 90.00°, β = 90.00°, γ = 90.00°
Element x y z (fractional)
Tb: 0.500 0.500 0.000
Tb: 0.500 0.500 0.251
Tb: 0.500 0.500 0.500
Tb: 0.500 0.500 0.749
Tb: 0.500 0.000 0.124
Tb: 0.500 0.000 0.375
Tb: 0.500 0.000 0.625
Tb: 0.500 0.000 0.876
Tb: 0.000 0.500 0.124
Tb: 0.000 0.500 0.375
Tb: 0.000 0.500 0.625
Tb: 0.000 0.500 0.876
Dy: 0.000 0.000 0.250
Dy: 0.000 0.000 0.500
Dy: 0.000 0.000 0.750
Th: 0.000 0.000 0.000

Summary:
energy	-4.777	eV per atom
energy of formation	23	meV per atom

***

Record 9
Tb4Dy5Th: optimized geometry, PBE-GGA.

a = 6.337 Å, b = 7.866 Å, c = 7.866 Å
α = 80.66°, β = 66.24°, γ = 66.24°
Element x y z (fractional)
Tb: 0.401 0.392 0.703
Tb: 0.793 0.703 0.608
Tb: 0.104 0.297 0.392
Tb: 0.496 0.608 0.297
Dy: 0.804 0.377 0.916
Dy: 0.181 0.916 0.623
Dy: 0.720 0.084 0.377
Dy: 0.097 0.623 0.084
Dy: 0.690 0.000 0.000
Th: 0.225 0.000 0.000

Summary:
energy	-4.572	eV per atom
energy of formation	323	meV per atom
relative energy among the computed polymorphs	0.100	eV/atom

***

Record 10
Tb3Dy8Th2: optimized geometry, PBE-GGA.

a = 5.659 Å, b = 7.374 Å, c = 10.990 Å
α = 109.57°, β = 90.01°, γ = 90.00°
Element x y z (fractional)
Tb: 0.500 0.000 0.000
Tb: 0.000 0.276 0.000
Tb: 0.000 0.724 0.000
Dy: 0.000 0.667 0.335
Dy: 0.000 0.333 0.665
Dy: 0.000 0.139 0.278
Dy: 0.000 0.861 0.722
Dy: 0.500 0.608 0.782
Dy: 0.500 0.174 0.782
Dy: 0.500 0.826 0.218
Dy: 0.500 0.392 0.218
Th: 0.500 0.245 0.490
Th: 0.500 0.755 0.510

Summary:
energy	-4.767	eV per atom
energy of formation	275	meV per atom
relative energy among the computed polymorphs	0.162	eV/atom